The following is a DFT calculation (PBE) of HfFe3Bi after structural relaxation.

As for the crystal system: cubic. For the density of states at the Fermi level, the calculation gives 9.731 states/eV per cell. The calculated density comes out at 8.93 g/cm³. As for the energy relative to the elements: 6.35 eV/f.u. The total energy comes out at -32.875 eV per cell.

The structure belongs to space group Pm-3m (No. 221); the cell edges are 4.6898, 4.6898 and 4.6898 Å and the angles 90.00°, 90.00° and 90.00°. Symmetry generates all atoms from Hf at (0.0000, 0.0000, 0.0000), Fe at (0.0000, 0.0000, 0.5000) and Bi at (0.5000, 0.5000, 0.5000).